# CsNd2Cl2F5

A relaxed structure of CsNd2Cl2F5 (PBE, Alexandria via LeMat-Bulk).

Geometry as POSCAR:
```
CsNd2Cl2F5
1.0
10.256 0.000 0.000
0.000 10.256 0.000
0.000 0.000 3.643
Cs Nd Cl F
2 4 4 10
Direct
0.000 0.000 0.000
0.500 0.500 0.000
0.128 0.372 0.000
0.372 0.872 0.000
0.628 0.128 0.000
0.872 0.628 0.000
0.164 0.664 0.000
0.336 0.164 0.000
0.664 0.836 0.000
0.836 0.336 0.000
0.000 0.500 0.500
0.080 0.235 0.500
0.235 0.920 0.500
0.265 0.420 0.500
0.420 0.735 0.500
0.500 0.000 0.500
0.580 0.265 0.500
0.735 0.580 0.500
0.765 0.080 0.500
0.920 0.765 0.500
```

- M_tot (Bohr magnetons per cell) = 0.00
- formation energy (no corrections) (meV/atom) = -3263
- crystal system = tetragonal